[1]
# AgMo2Ru

Crystalline AgMo2Ru at its relaxed geometry (PBE, the Alexandria database).

It has space group R3m (No. 160, hexagonal axes), with a = 2.7791 Å, b = 2.7791 Å, c = 28.5788 Å, α = 90.00°, β = 90.00° and γ = 120.00°. The asymmetric unit holds Ag at (0.0000, 0.0000, 0.0000), Mo at (0.0000, 0.0000, 0.5060), Mo at (0.0000, 0.0000, 0.7538) and Ru at (0.0000, 0.0000, 0.2467).

The density of states at the Fermi level comes out at 8.4 states/eV/cell. For the formation energy, the calculation gives 0.301 eV/atom. The excess energy over the best structure of this formula in the dataset comes out at 21.4 meV/atom.

[2]
# CsMnP2Cl

Crystalline CsMnP2Cl at its relaxed geometry (PBE, the Alexandria database).

It has space group P4/mmm (No. 123), with a = 4.493 Å, b = 4.493 Å, c = 6.830 Å, α = 90.00°, β = 90.00° and γ = 90.00°. The asymmetric unit holds Cs at (0.000, 0.000, 0.000), Mn at (0.500, 0.500, 0.500), P at (0.000, 0.500, 0.500) and Cl at (0.500, 0.500, 0.000).

The density of states at the Fermi level comes out at 1.1 states/eV/cell. The calculation puts the total energy at -24.193 eV/cell.